[1]
First-principles (PBE) data for an optimized crystal structure of Ac2SmY5, as listed in Alexandria.

```
16
Lattice="-0.790 -5.184 -0.293 1.323 0.206 -7.203 14.249 -2.315 2.552" Properties=species:S:1:pos:R:3 pbc="T T T"
Y 7.786 -1.055 -2.326
Ac 13.063 -4.461 -3.348
Ac 5.928 -3.305 -4.564
Y 4.877 -0.374 -6.526
Y 4.218 -0.477 -2.924
Y 0.000 0.000 0.000
Y 2.360 -2.726 -5.193
Ac 1.719 -2.832 -1.597
Sm 7.125 -1.157 1.276
Y 10.696 -1.735 1.874
Y 12.423 -4.567 0.248
Y 11.354 -1.632 -1.728
Y 9.499 -3.882 -3.996
Sm 0.662 0.103 -3.602
Ac 8.855 -3.988 -0.381
Y 5.284 -3.412 -0.949
```

Properties
Energy above the lowest structure with this stoichiometry in eV per atom: 0.0127
Mass density in g/cm³: 6.17
Symmetry: Pbam (55)
Energy relative to the elements in eV per atom: 0.0506
D(E_F) in states/eV/f.u.: 14.06

***

[2]
First-principles (PBE) data for an optimized crystal structure of Hf13Co2, as listed in Alexandria.

```
15
Lattice="-4.492 -1.631 3.206 5.583 -2.334 4.315 -2.262 7.837 1.039" Properties=species:S:1:pos:R:3 pbc="T T T"
Hf 3.279 2.341 5.543
Hf -4.449 1.531 3.017
Hf -4.212 4.577 3.743
Hf 3.042 -0.705 4.817
Hf -0.129 -2.491 5.087
Co -0.125 1.665 2.006
Co -1.045 2.207 6.554
Hf 0.497 4.055 5.705
Hf -2.086 -0.242 5.819
Hf -1.678 2.869 3.692
Hf 0.000 0.000 0.000
Hf 0.916 4.114 2.741
Hf -1.041 6.363 3.474
Hf 0.507 1.003 4.868
Hf -1.667 -0.183 2.855
```

Properties
Mass density in g/cm³: 12.99
Symmetry: P-1 (2)
Energy relative to the elements in eV per atom: -0.0424
D(E_F) in states/eV/f.u.: 14.95

***

[3]
First-principles (PBE) data for an optimized crystal structure of LaPuGaIr, as listed in Alexandria.

```
4
Lattice="-4.468 0.056 -2.410 -2.047 -4.342 -1.655 -4.132 -1.885 2.269" Properties=species:S:1:pos:R:3 pbc="T T T"
La 0.000 0.000 0.000
Ir -7.985 -4.628 -1.348
Pu -5.323 -3.085 -0.898
Ga -2.662 -1.543 -0.449
```

Properties
Mass density in g/cm³: 11.57
Symmetry: F-43m (216)
Energy relative to the elements in eV per atom: -0.3924
D(E_F) in states/eV/f.u.: 8.21

***

[4]
First-principles (PBE) data for an optimized crystal structure of Th2PaSe5, as listed in Alexandria.

```
16
Lattice="4.030 0.000 0.000 0.000 8.227 0.000 0.000 0.000 12.727" Properties=species:S:1:pos:R:3 pbc="T T T"
Th 2.015 4.331 2.274
Se 2.015 1.439 1.367
Th 2.015 3.897 10.453
Se 0.000 0.000 6.364
Se 2.015 5.553 4.997
Se 0.000 5.601 8.860
Se 0.000 6.740 2.496
Th 2.015 0.217 4.090
Th 2.015 8.010 8.638
Pa 0.000 0.000 0.000
Se 2.015 2.675 7.731
Se 2.015 6.788 11.360
Se 0.000 1.487 10.231
Se 0.000 2.626 3.868
Se 0.000 4.114 0.000
Pa 0.000 4.114 6.364
```

Properties
ΔE_f (raw) in eV/atom: -1.5079
Energy above the lowest structure with this stoichiometry in eV per atom: 0.0000
Mass density in g/cm³: 8.58
Symmetry: Pbam (55)
D(E_F) in states/eV/f.u.: 7.60

***

[5]
First-principles (PBE) data for an optimized crystal structure of LiTbAg, as listed in Alexandria.

```
18
Lattice="6.767 0.000 3.088 2.343 7.289 3.825 0.192 0.560 8.538" Properties=species:S:1:pos:R:3 pbc="T T T"
Ag 3.689 2.615 5.417
Li 7.335 6.924 13.234
Tb 2.997 2.242 8.394
Tb 4.072 5.606 6.038
Ag 6.899 5.607 7.328
Li 3.804 0.924 3.055
Ag 5.824 2.242 9.684
Tb 1.361 0.603 5.306
Li 5.071 4.848 9.237
Tb 7.435 7.246 9.913
Ag 4.957 6.539 11.598
Li 6.688 0.000 3.052
Tb 2.436 3.967 2.950
Li 6.068 3.000 7.052
Ag 1.009 1.309 2.330
Ag 2.277 5.234 8.511
Li 7.955 3.924 9.233
Tb 6.360 3.882 12.269
```

Properties
Energy above the lowest structure with this stoichiometry in eV per atom: 0.0000
Mass density in g/cm³: 6.71
Symmetry: Amm2 (38)
Energy relative to the elements in eV per atom: -0.1868
D(E_F) in states/eV/f.u.: 2.14

***

[6]
First-principles (PBE) data for an optimized crystal structure of BiP2RhS, as listed in Alexandria.

```
5
Lattice="-3.346 3.022 -0.256 -2.284 -2.762 -2.748 -2.257 -2.157 4.045" Properties=species:S:1:pos:R:3 pbc="T T T"
P -1.673 1.511 -0.128
P -1.142 -1.381 -1.374
S -1.129 -1.078 2.022
Rh 0.000 0.000 0.000
Bi -3.944 -0.948 0.520
```

Properties
ΔE_f (raw) in eV/atom: 0.3615
Energy above the lowest structure with this stoichiometry in eV per atom: 0.0000
Mass density in g/cm³: 6.47
Symmetry: P4/mmm (123)
D(E_F) in states/eV/f.u.: 3.83

***

[7]
First-principles (PBE) data for an optimized crystal structure of MnTl2Cd, as listed in Alexandria.

```
4
Lattice="0.000 3.644 3.644 3.644 0.000 3.644 3.644 3.644 0.000" Properties=species:S:1:pos:R:3 pbc="T T T"
Tl 1.822 1.822 1.822
Tl 5.466 5.466 5.466
Cd 3.644 3.644 3.644
Mn 0.000 0.000 0.000
```

Properties
Energy above the lowest structure with this stoichiometry in eV per atom: 0.1146
Mass density in g/cm³: 9.89
Symmetry: Fm-3m (225)
Energy relative to the elements in eV per atom: 0.3829
D(E_F) in states/eV/f.u.: 3.23

***

[8]
First-principles (PBE) data for an optimized crystal structure of Tb3Zn3Rh2, as listed in Alexandria.

```
32
Lattice="5.498 0.000 0.000 0.000 7.393 0.000 0.000 0.000 16.172" Properties=species:S:1:pos:R:3 pbc="T T T"
Zn 1.984 4.985 4.043
Zn 0.765 1.289 4.043
Tb 3.540 2.459 4.043
Rh 4.790 0.888 1.883
Tb 4.867 3.979 9.808
Rh 4.790 0.888 6.204
Zn 2.224 4.977 15.694
Rh 0.708 6.505 14.290
Zn 3.514 2.407 12.129
Zn 4.733 6.104 12.129
Zn 0.525 1.281 15.694
Tb 0.631 3.413 1.721
Zn 0.525 1.281 8.564
Zn 3.273 2.416 0.478
Tb 1.957 4.934 12.129
Tb 2.118 7.110 1.721
Zn 3.273 2.416 7.608
Rh 3.457 4.584 6.204
Tb 4.867 3.979 14.451
Tb 3.380 0.283 14.451
Tb 4.706 6.155 4.043
Rh 3.457 4.584 1.883
Rh 2.041 2.808 14.290
Zn 4.973 6.112 0.478
Zn 4.973 6.112 7.608
Zn 2.224 4.977 8.564
Tb 2.118 7.110 6.365
Tb 0.631 3.413 6.365
Tb 0.792 1.237 12.129
Rh 2.041 2.808 9.969
Tb 3.380 0.283 9.808
Rh 0.708 6.505 9.969
```

Properties
Mass density in g/cm³: 8.88
Symmetry: Pnma (62)
Energy relative to the elements in eV per atom: -0.6041
D(E_F) in states/eV/f.u.: 4.49

***

[9]
First-principles (PBE) data for an optimized crystal structure of Er4NpS5, as listed in Alexandria.

```
10
Lattice="3.832 0.000 -0.540 -0.076 3.831 -0.540 0.016 0.017 13.980" Properties=species:S:1:pos:R:3 pbc="T T T"
Np 0.000 0.000 0.000
S 1.137 1.160 8.068
S 3.388 3.456 10.177
Er 3.015 3.075 7.527
S 2.635 2.688 4.832
Er 0.757 0.772 5.373
S 0.384 0.392 2.723
S 1.878 1.915 -0.540
Er 1.518 1.548 10.771
Er 2.254 2.299 2.129
```

Properties
ΔE_f (raw) in eV/atom: -1.8461
Mass density in g/cm³: 8.63
Symmetry: I4/mmm (139)
D(E_F) in states/eV/f.u.: 8.78

***

[10]
First-principles (PBE) data for an optimized crystal structure of NdZr2Sc, as listed in Alexandria.

```
4
Lattice="3.309 0.000 0.000 1.654 2.865 0.000 1.654 0.955 10.844" Properties=species:S:1:pos:R:3 pbc="T T T"
Zr 1.654 0.955 8.270
Zr 1.654 0.955 2.570
Nd 3.309 1.910 5.426
Sc 3.309 1.910 0.000
```

Properties
Energy above the lowest structure with this stoichiometry in eV per atom: 0.0106
Mass density in g/cm³: 6.00
Symmetry: R3m (160)
Energy relative to the elements in eV per atom: 0.1344
D(E_F) in states/eV/f.u.: 6.06

***

[11]
First-principles (PBE) data for an optimized crystal structure of BiRu, as listed in Alexandria.

```
12
Lattice="-4.992 -0.268 -8.962 2.138 -8.734 4.946 -3.546 0.246 1.968" Properties=species:S:1:pos:R:3 pbc="T T T"
Bi -4.576 -2.269 -5.865
Bi -3.390 -5.393 -3.336
Bi -2.540 -1.422 -2.302
Ru -1.756 -3.626 3.581
Bi -1.824 -6.486 3.816
Ru -4.256 -4.942 -0.760
Ru -2.144 -3.814 -1.288
Ru -4.644 -5.130 -5.630
Bi -3.860 -7.333 0.253
Ru -3.718 -0.142 -4.585
Ru -2.682 -8.614 2.536
Bi -3.010 -3.362 1.287
```

Properties
Mass density in g/cm³: 8.34
Symmetry: P6_3/m (176)
Energy relative to the elements in eV per atom: 0.5735
D(E_F) in states/eV/f.u.: 1.15

***

[12]
First-principles (PBE) data for an optimized crystal structure of RbCa2Ni, as listed in Alexandria.

```
4
Lattice="0.000 3.969 3.969 3.969 0.000 3.969 3.969 3.969 0.000" Properties=species:S:1:pos:R:3 pbc="T T T"
Rb 3.969 3.969 3.969
Ca 1.984 1.984 1.984
Ni 0.000 0.000 0.000
Ca 5.953 5.953 5.953
```

Properties
Energy above the lowest structure with this stoichiometry in eV per atom: 0.3568
Mass density in g/cm³: 2.98
Symmetry: Fm-3m (225)
Energy relative to the elements in eV per atom: 0.4807
D(E_F) in states/eV/f.u.: 2.85

***

[13]
First-principles (PBE) data for an optimized crystal structure of Al2C, as listed in Alexandria.

```
3
Lattice="3.010 0.000 0.000 0.000 3.010 0.000 0.000 0.000 3.996" Properties=species:S:1:pos:R:3 pbc="T T T"
C 0.000 0.000 0.000
Al 1.505 1.505 0.000
Al 0.000 0.000 1.998
```

Properties
Mass density in g/cm³: 3.03
Symmetry: P4/mmm (123)
Energy relative to the elements in eV per atom: 0.2581
D(E_F) in states/eV/f.u.: 0.71

***

[14]
First-principles (PBE) data for an optimized crystal structure of Ti5Mn4Pd, as listed in Alexandria.

```
10
Lattice="3.012 0.000 0.000 0.000 3.012 0.000 0.000 0.000 15.179" Properties=species:S:1:pos:R:3 pbc="T T T"
Ti 1.506 1.506 13.442
Ti 1.506 1.506 10.568
Mn 0.000 0.000 6.109
Pd 0.000 0.000 0.000
Ti 1.506 1.506 1.737
Mn 0.000 0.000 12.096
Ti 1.506 1.506 7.590
Ti 1.506 1.506 4.612
Mn 0.000 0.000 9.070
Mn 0.000 0.000 3.083
```

Properties
Mass density in g/cm³: 6.82
Symmetry: P4/mmm (123)
Energy relative to the elements in eV per atom: -0.3474
D(E_F) in states/eV/f.u.: 7.40

***

[15]
First-principles (PBE) data for an optimized crystal structure of KTaI6, as listed in Alexandria.

```
8
Lattice="6.941 -1.741 -1.814 -3.990 8.085 -3.153 0.610 -0.159 7.570" Properties=species:S:1:pos:R:3 pbc="T T T"
K 0.000 0.000 0.000
I 3.096 0.972 -1.845
I -0.144 5.371 -3.122
I -2.621 6.422 -0.285
I 3.611 2.616 2.252
I 6.182 -0.237 2.888
I -0.050 3.569 0.351
Ta -1.995 4.042 -1.576
```

Properties
ΔE_f (raw) in eV/atom: -0.6617
Energy above the lowest structure with this stoichiometry in eV per atom: 0.0080
Mass density in g/cm³: 4.29
Symmetry: C2/m (12)

***

[16]
First-principles (PBE) data for an optimized crystal structure of BaMg2NiPb, as listed in Alexandria.

```
5
Lattice="-3.451 0.189 3.763 0.831 -4.939 1.010 3.688 1.299 3.317" Properties=species:S:1:pos:R:3 pbc="T T T"
Pb 1.844 0.650 1.659
Mg -1.725 0.094 1.881
Ba 0.534 -1.725 4.045
Ni 0.000 0.000 0.000
Mg 0.416 -2.469 0.505
```

Properties
Mass density in g/cm³: 5.61
Symmetry: P4/mmm (123)
Energy relative to the elements in eV per atom: -0.1744
D(E_F) in states/eV/f.u.: 3.32

***

[17]
First-principles (PBE) data for an optimized crystal structure of Y2PuP3, as listed in Alexandria.

```
6
Lattice="-1.510 -3.474 -1.301 0.548 1.180 -3.788 8.252 -2.255 2.609" Properties=species:S:1:pos:R:3 pbc="T T T"
P 4.224 -1.840 0.044
Y 1.635 -0.707 0.022
P 6.314 -4.112 -2.480
Pu 6.795 -2.965 0.064
Y 3.703 -2.970 -2.501
P 1.114 -1.836 -2.523
```

Properties
Mass density in g/cm³: 6.28
Symmetry: I4/mmm (139)
Energy relative to the elements in eV per atom: -1.4607
D(E_F) in states/eV/f.u.: 10.23

***

[18]
First-principles (PBE) data for an optimized crystal structure of Sc8Cu2Tc, as listed in Alexandria.

```
11
Lattice="-0.302 2.089 4.271 -1.082 -5.636 2.680 7.971 0.303 -2.242" Properties=species:S:1:pos:R:3 pbc="T T T"
Sc 0.854 -1.205 3.307
Sc 5.733 -2.039 1.403
Cu 4.491 0.213 2.871
Cu 2.096 -3.457 1.839
Tc -0.151 1.045 2.136
Sc 2.691 -1.172 0.764
Sc 1.423 -3.962 4.696
Sc 3.896 -2.072 3.946
Sc 5.164 0.718 0.014
Sc 6.978 1.151 2.587
Sc -0.391 -4.395 2.122
```

Properties
Energy above the lowest structure with this stoichiometry in eV per atom: 0.0000
Mass density in g/cm³: 4.29
Symmetry: C2/m (12)
Energy relative to the elements in eV per atom: -0.1841
D(E_F) in states/eV/f.u.: 12.67

***

[19]
First-principles (PBE) data for an optimized crystal structure of Y2HoGa6, as listed in Alexandria.

```
9
Lattice="4.122 0.000 0.000 0.000 6.310 -3.643 0.000 0.000 7.287" Properties=species:S:1:pos:R:3 pbc="T T T"
Ga 2.061 4.209 2.430
Ga 2.061 4.209 -2.430
Ga 2.061 0.000 4.860
Ho 0.000 0.000 7.287
Ga 2.061 2.101 -1.213
Ga 2.061 0.000 2.426
Y 0.000 4.207 0.000
Y 0.000 2.103 3.643
Ga 2.061 2.101 1.213
```

Properties
Energy above the lowest structure with this stoichiometry in eV per atom: 0.0000
Mass density in g/cm³: 6.67
Symmetry: P6/mmm (191)
Energy relative to the elements in eV per atom: -0.6440
D(E_F) in states/eV/f.u.: 5.80

***

[20]
First-principles (PBE) data for an optimized crystal structure of VSiSN2, as listed in Alexandria.

```
5
Lattice="3.728 0.000 0.000 0.000 3.728 0.000 0.000 0.000 4.963" Properties=species:S:1:pos:R:3 pbc="T T T"
S 0.000 0.000 2.481
Si 1.864 1.864 2.481
N 1.864 0.000 0.000
N 0.000 1.864 0.000
V 0.000 0.000 0.000
```

Properties
ΔE_f (raw) in eV/atom: 0.4029
Energy above the lowest structure with this stoichiometry in eV per atom: 0.0700
Mass density in g/cm³: 3.35
Symmetry: P4/mmm (123)
D(E_F) in states/eV/f.u.: 2.31